1.
Rb2NaPuBr6 (PBE-GGA, relaxed); crystal system = monoclinic; DFT total energy = -4.4118 eV per atom
1.0
-1.298 -3.522 6.948
-7.147 -3.059 -2.885
5.447 -9.295 -3.639
Br Na Rb Pu
12 2 4 2
direct
0.085 0.477 0.754 Br
0.585 0.023 0.254 Br
0.808 0.790 0.958 Br
0.415 0.977 0.746 Br
0.192 0.210 0.042 Br
0.692 0.290 0.542 Br
0.308 0.710 0.458 Br
0.793 0.802 0.546 Br
0.707 0.302 0.954 Br
0.207 0.198 0.454 Br
0.915 0.523 0.246 Br
0.293 0.698 0.046 Br
0.000 0.500 0.500 Na
0.500 0.000 0.000 Na
0.480 0.435 0.250 Rb
0.980 0.065 0.750 Rb
0.520 0.565 0.750 Rb
0.020 0.935 0.250 Rb
0.500 0.000 0.500 Pu
0.000 0.500 0.000 Pu



2.
RbNa2PuBr8 (PBE-GGA, relaxed); crystal system = triclinic; DFT total energy = -3.9220 eV per atom
1.0
7.097 -0.113 -0.003
-0.137 6.322 0.002
0.009 0.021 9.856
Na Br Rb Pu
2 8 1 1
direct
0.500 0.499 0.765 Na
0.500 0.501 0.235 Na
0.147 0.756 0.203 Br
0.670 0.752 0.999 Br
0.853 0.244 0.797 Br
0.149 0.757 0.798 Br
0.483 0.249 0.500 Br
0.330 0.248 0.001 Br
0.851 0.243 0.202 Br
0.517 0.751 0.500 Br
0.000 0.000 0.500 Rb
0.000 0.000 0.000 Pu



3.
Rb2NaPuBr5 (PBE-GGA, relaxed); crystal system = orthorhombic; DFT total energy = -4.4564 eV per atom
1.0
4.568 0.000 0.000
-2.284 9.719 0.000
0.000 0.000 15.184
Br Na Rb Pu
10 2 4 2
direct
0.503 0.006 0.279 Br
0.066 0.132 0.058 Br
0.934 0.868 0.558 Br
0.272 0.545 0.653 Br
0.695 0.391 0.892 Br
0.629 0.258 0.495 Br
0.728 0.455 0.153 Br
0.497 0.994 0.779 Br
0.305 0.609 0.392 Br
0.371 0.742 0.995 Br
0.532 0.065 0.956 Na
0.468 0.935 0.456 Na
0.866 0.733 0.800 Rb
0.905 0.811 0.172 Rb
0.095 0.189 0.672 Rb
0.134 0.267 0.300 Rb
0.782 0.565 0.520 Pu
0.218 0.435 0.020 Pu



4.
Rb2NaPuBr8 (PBE-GGA, relaxed); crystal system = triclinic; DFT total energy = -3.9228 eV per atom
1.0
-2.032 -5.381 -5.011
-1.615 -3.991 5.281
-8.515 2.684 2.450
Br Rb Pu Na
8 2 1 1
direct
0.628 0.848 0.491 Br
0.965 0.271 0.713 Br
0.035 0.729 0.287 Br
0.153 0.734 0.874 Br
0.847 0.266 0.126 Br
0.330 0.147 0.076 Br
0.670 0.853 0.924 Br
0.372 0.152 0.509 Br
0.461 0.584 0.225 Rb
0.539 0.416 0.775 Rb
0.000 0.000 0.000 Pu
0.000 0.000 0.500 Na



5.
NaPuScBr6 (PBE-GGA, relaxed); crystal system = trigonal; DFT total energy = -5.1447 eV per atom
1.0
-0.583 -5.287 4.815
4.521 5.444 1.180
-9.730 6.733 6.215
Br Pu Sc Na
12 2 2 2
direct
0.973 0.638 0.369 Br
0.027 0.664 0.869 Br
0.362 0.027 0.131 Br
0.664 0.638 0.131 Br
0.973 0.336 0.131 Br
0.336 0.973 0.631 Br
0.638 0.664 0.631 Br
0.362 0.336 0.369 Br
0.664 0.027 0.369 Br
0.336 0.362 0.869 Br
0.027 0.362 0.631 Br
0.638 0.973 0.869 Br
0.333 0.667 0.250 Pu
0.667 0.333 0.750 Pu
0.667 0.333 0.250 Sc
0.333 0.667 0.750 Sc
0.000 0.000 0.500 Na
0.000 0.000 0.000 Na



6.
Na2PuSnBr8 (PBE-GGA, relaxed); crystal system = monoclinic; DFT total energy = -4.0944 eV per atom
1.0
-0.796 -5.997 3.658
0.458 -3.138 -5.990
8.796 -0.575 0.974
Br Na Sn Pu
8 2 1 1
direct
0.678 0.738 0.000 Br
0.327 0.272 0.500 Br
0.322 0.262 0.000 Br
0.154 0.785 0.236 Br
0.846 0.215 0.236 Br
0.154 0.785 0.764 Br
0.846 0.215 0.764 Br
0.673 0.728 0.500 Br
0.500 0.500 0.746 Na
0.500 0.500 0.254 Na
0.000 0.000 0.500 Sn
0.000 0.000 0.000 Pu